Record 1
Compound: Nd2Mn2Pt15
Source: Alexandria
Functional: PBE-GGA
Structure: relaxed

abc: 7.0034 7.0034 7.0034
angles: 82.79 82.79 82.79
With the nearest neighbours (Å) after each atom.
Element x y z (fractional)
Nd (0.1553, 0.1553, 0.1553)  15 Pt 3.21-3.51, 1 Mn 3.34
Nd (0.8447, 0.8447, 0.8447)  15 Pt 3.21-3.51, 1 Mn 3.34
Mn (0.4015, 0.4015, 0.4015)  1 Mn 2.67, 6 Pt 2.83-2.87
Mn (0.5985, 0.5985, 0.5985)  1 Mn 2.67, 6 Pt 2.83-2.87
Pt (0.0000, 0.5000, 0.5000)  8 Pt 2.68, 2 Mn 2.83
Pt (0.1567, 0.1567, 0.6561)  8 Pt 2.68-2.80, 1 Mn 2.87
Pt (0.1567, 0.6561, 0.1567)  8 Pt 2.68-2.80, 1 Mn 2.87
Pt (0.1911, 0.5000, 0.8089)  8 Pt 2.68-2.86
Pt (0.1911, 0.8089, 0.5000)  8 Pt 2.68-2.86
Pt (0.3439, 0.8433, 0.8433)  8 Pt 2.68-2.80, 1 Mn 2.87
Pt (0.5000, 0.0000, 0.5000)  8 Pt 2.68, 2 Mn 2.83
Pt (0.5000, 0.1911, 0.8089)  8 Pt 2.68-2.86
Pt (0.5000, 0.5000, 0.0000)  8 Pt 2.68, 2 Mn 2.83
Pt (0.5000, 0.8089, 0.1911)  8 Pt 2.68-2.86
Pt (0.6561, 0.1567, 0.1567)  8 Pt 2.68-2.80, 1 Mn 2.87
Pt (0.8089, 0.1911, 0.5000)  8 Pt 2.68-2.86
Pt (0.8089, 0.5000, 0.1911)  8 Pt 2.68-2.86
Pt (0.8433, 0.3439, 0.8433)  8 Pt 2.68-2.80, 1 Mn 2.87
Pt (0.8433, 0.8433, 0.3439)  8 Pt 2.68-2.80, 1 Mn 2.87

Values from the calculation:
The value obtained for the formation energy is -0.479 eV per atom. The value obtained for the density of states at the Fermi level is 15.37 states/eV/cell. The space group is R-3m, No. 166.



Record 2
Compound: NdMnPt3
Source: Alexandria
Functional: PBE-GGA
Structure: relaxed

abc: 6.3257 6.3257 5.6254
angles: 90.00 90.00 120.00
With the nearest neighbours (Å) after each atom.
Element x y z (fractional)
Nd (0.3333, 0.6667, 0.2500)  12 Pt 3.18-3.21
Nd (0.6667, 0.3333, 0.7500)  12 Pt 3.18-3.21
Mn (0.0000, 0.0000, 0.0000)  6 Pt 2.54, 2 Mn 2.81
Mn (0.0000, 0.0000, 0.5000)  6 Pt 2.54, 2 Mn 2.81
Pt (0.1926, 0.3851, 0.7500)  2 Mn 2.54, 2 Pt 2.67
Pt (0.1926, 0.8074, 0.7500)  2 Mn 2.54, 2 Pt 2.67
Pt (0.3851, 0.1926, 0.2500)  2 Mn 2.54, 2 Pt 2.67
Pt (0.6149, 0.8074, 0.7500)  2 Mn 2.54, 2 Pt 2.67
Pt (0.8074, 0.1926, 0.2500)  2 Mn 2.54, 2 Pt 2.67
Pt (0.8074, 0.6149, 0.2500)  2 Mn 2.54, 2 Pt 2.67

Values from the calculation:
The value obtained for the formation energy is -0.632 eV per atom. The value obtained for the density of states at the Fermi level is 4.70 states/eV/cell. The space group is P6_3/mmc, No. 194.



Record 3
Compound: NdMnPt4
Source: Alexandria
Functional: PBE-GGA
Structure: relaxed

abc: 7.7372 4.0362 6.9797
angles: 90.00 90.00 90.00
With the nearest neighbours (Å) after each atom.
Element x y z (fractional)
Nd (0.2500, 0.0000, 0.1485)  1 Mn 2.93, 8 Pt 3.03-3.12
Nd (0.7500, 0.0000, 0.8515)  1 Mn 2.93, 8 Pt 3.03-3.12
Mn (0.2500, 0.0000, 0.7289)  8 Pt 2.51-2.70
Mn (0.7500, 0.0000, 0.2711)  8 Pt 2.51-2.70
Pt (0.0000, 0.0000, 0.5000)  2 Mn 2.51, 4 Pt 2.80
Pt (0.0483, 0.5000, 0.8136)  2 Mn 2.62, 2 Pt 2.71-2.85
Pt (0.2500, 0.5000, 0.4727)  2 Mn 2.70, 6 Pt 2.80-2.85
Pt (0.4517, 0.5000, 0.8136)  2 Mn 2.62, 2 Pt 2.71-2.85
Pt (0.5000, 0.0000, 0.5000)  2 Mn 2.51, 4 Pt 2.80
Pt (0.5483, 0.5000, 0.1864)  2 Mn 2.62, 2 Pt 2.71-2.85
Pt (0.7500, 0.5000, 0.5273)  2 Mn 2.70, 6 Pt 2.80-2.85
Pt (0.9517, 0.5000, 0.1864)  2 Mn 2.62, 2 Pt 2.71-2.85

Values from the calculation:
The value obtained for the formation energy is -0.599 eV per atom. The value obtained for the density of states at the Fermi level is 5.71 states/eV/cell. The space group is Pmma, No. 51.